DFT (PBE with a Hubbard U) results for a geometry-optimized MnBiI2O structure.

**Energy above the lowest structure with this stoichiometry**: 0 meV/atom
**Space-group type**: P4/mmm

abc: 5.9567 5.9567 3.7588
angles: 90.00 90.00 90.00
With the nearest neighbours (Å) after each atom.
Fractional positions:
I: 0.0000 0.5000 0.0000  2 Mn 2.98
I: 0.5000 0.0000 0.0000  2 Mn 2.98
Mn: 0.0000 0.0000 0.0000  2 O 1.88
Bi: 0.5000 0.5000 0.5000  8 I 3.52, 2 Bi 3.76
O: 0.0000 0.0000 0.5000  2 Mn 1.88